The following is a PBEsol calculation of crystalline TaTi2Ge2 at its relaxed geometry, from Alexandria via LeMat-Bulk.

Its density of states at the Fermi level is 4.6 states/eV per cell. The total energy comes out at -8.478 eV per atom. The energy of formation from the pure elements comes out at -0.663 eV/atom.

```
TaTi2Ge2
1.0
6.7758 0.0000 0.0000
0.0000 6.7758 0.0000
0.0000 0.0000 3.4155
Ta Ti Ge
2 4 4
direct
0.0000 0.0000 0.0000
0.5000 0.5000 0.0000
0.1704 0.3296 0.5000
0.3296 0.8296 0.5000
0.6704 0.1704 0.5000
0.8296 0.6704 0.5000
0.1314 0.6314 0.0000
0.3686 0.1314 0.0000
0.6314 0.8686 0.0000
0.8686 0.3686 0.0000
```

---

The following is a PBEsol calculation of crystalline MgSiRh2 at its relaxed geometry, from Alexandria via LeMat-Bulk.

Its density of states at the Fermi level is 1.7 states/eV per cell. The total energy comes out at -6.723 eV per atom. As for the formation energy (no corrections): -0.788 eV/atom.

```
MgSiRh2
1.0
2.9125 0.0000 0.0000
0.0000 2.9125 0.0000
0.0000 0.0000 6.4122
Mg Si Rh
1 1 2
direct
0.0000 0.0000 0.0000
0.0000 0.0000 0.5000
0.5000 0.5000 0.2837
0.5000 0.5000 0.7163
```

---

The following is a PBEsol calculation of crystalline CdPtAu2 at its relaxed geometry, from Alexandria via LeMat-Bulk.

Its density of states at the Fermi level is 1.6 states/eV per cell. The total energy comes out at -4.021 eV per atom. The energy of formation from the pure elements comes out at -0.019 eV/atom.

```
CdPtAu2
1.0
1.4427 0.8330 9.3378
-1.4427 0.8330 9.3378
0.0000 -1.6659 9.3378
Cd Pt Au
1 1 2
direct
0.0000 0.0000 0.0000
0.5000 0.5000 0.5000
0.2484 0.2484 0.2484
0.7516 0.7516 0.7516
```

---

density of states at the Fermi level of number 3 (CdPtAu2)?
1.6 states/eV per cell

---

Which formula does entry 2 have?
MgSiRh2

---

Among the records above, which one has the highest density of states at the Fermi level?
TaTi2Ge2

---

Among the records above, which one has the highest density of states at the Fermi level?
TaTi2Ge2